No. 1
The following is a DFT calculation (PBE-GGA) of a relaxed Li5Pb crystal.

Formation energy = -0.219 eV/atom
Energy above the lowest structure with this stoichiometry = 12.3 meV per atom
Symmetry = Cmmm, No. 65
Density of states at the Fermi level = 0.339 states/eV per atom

a b c (Å): 5.3855 5.3855 4.8535
angles (deg): 90.00 90.00 126.35
Element x y z (fractional)
Li1 0.0000 0.0000 0.0000
Li2 0.1714 0.8286 0.5000
Li3 0.3449 0.6551 0.0000
Li4 0.6551 0.3449 0.0000
Li5 0.8286 0.1714 0.5000
Pb1 0.5000 0.5000 0.5000

No. 2
The following is a DFT calculation (PBE-GGA) of a relaxed Tl2ReCl5O crystal.

Formation energy from raw total energies = -933 meV per atom
Symmetry = I4mm, No. 107

a b c (Å): 6.9419 6.9419 6.9419
angles (deg): 115.98 115.98 97.11
Element x y z (fractional)
Tl1 0.0000 0.5000 0.5000
Tl2 0.5000 0.0000 0.5000
Re1 0.2380 0.2380 0.0000
Cl1 0.0290 0.0290 0.5396
Cl2 0.0290 0.4893 0.0000
Cl3 0.4893 0.0290 0.0000
Cl4 0.4893 0.4893 0.4604
Cl5 0.5039 0.5039 0.0000
O1 0.0523 0.0523 0.0000

No. 3
The following is a DFT calculation (PBE-GGA) of a relaxed Ca2Ce3TaN6 crystal.

Formation energy from raw total energies = -1327 meV per atom
Symmetry = C2/m, No. 12
Density of states at the Fermi level = 0.646 states/eV per atom

a b c (Å): 6.0238 6.0238 5.9132
angles (deg): 99.62 99.62 120.02
Element x y z (fractional)
Ca1 0.1665 0.8335 0.0000
Ca2 0.8335 0.1665 0.0000
Ce1 0.0000 0.0000 0.5000
Ce2 0.3319 0.6681 0.5000
Ce3 0.6681 0.3319 0.5000
Ta1 0.5000 0.5000 0.0000
N1 0.1295 0.4208 0.7653
N2 0.2866 0.2866 0.2433
N3 0.4208 0.1295 0.7653
N4 0.5792 0.8705 0.2347
N5 0.7134 0.7134 0.7567
N6 0.8705 0.5792 0.2347

No. 4
The following is a DFT calculation (PBE-GGA) of a relaxed CsKTlHg2 crystal.

Formation energy = -0.051 eV/atom
Energy above the lowest structure with this stoichiometry = 0.0 meV per atom
Symmetry = P4/mmm, No. 123
Density of states at the Fermi level = 0.383 states/eV per atom

a b c (Å): 5.9883 5.9883 6.6274
angles (deg): 90.00 90.00 90.00
Element x y z (fractional)
Cs1 0.0000 0.0000 0.0000
K1 0.5000 0.5000 0.0000
Tl1 0.5000 0.5000 0.5000
Hg1 0.0000 0.5000 0.5000
Hg2 0.5000 0.0000 0.5000